1.
Density functional theory data (PBE+U) for crystalline CaLaCrNiO6 at its relaxed geometry.

Cell: 5.468 5.563 9.380 Å, 90.00 125.61 90.00°
Fractional positions:
Ca  0.000  0.201  0.000
Ca  0.000  0.799  0.500
La  0.523  0.288  0.501
La  0.523  0.712  0.001
Cr  0.265  0.249  0.751
Cr  0.265  0.751  0.251
Ni  0.763  0.251  0.249
Ni  0.763  0.749  0.749
O  0.018  0.470  0.204
O  0.018  0.530  0.704
O  0.097  0.230  0.513
O  0.097  0.770  0.013
O  0.416  0.267  0.985
O  0.416  0.733  0.485
O  0.508  0.029  0.290
O  0.508  0.971  0.790
O  0.584  0.448  0.793
O  0.584  0.552  0.293
O  0.946  0.043  0.710
O  0.946  0.957  0.210

## Properties
VASP energy = -6.86 eV per atom
V = 11.6 Å³ per atom
Spin magnetization = 3.00 μB per formula unit



2.
Density functional theory data (PBE+U) for crystalline CaLaCr2O8 at its relaxed geometry.

Cell: 6.172 6.172 6.172 Å, 106.00 106.00 116.67°
Fractional positions:
Ca  0.000  0.000  0.000
La  0.250  0.750  0.500
Cr  0.500  0.500  0.000
Cr  0.750  0.250  0.500
O  0.334  0.152  0.818
O  0.334  0.515  0.182
O  0.416  0.093  0.323
O  0.485  0.666  0.818
O  0.770  0.093  0.677
O  0.848  0.666  0.182
O  0.907  0.230  0.323
O  0.907  0.584  0.677

## Properties
VASP energy = -7.28 eV per atom
V = 14.9 Å³ per atom
Spin magnetization = 1.00 μB per formula unit



3.
Density functional theory data (PBE+U) for crystalline CaLaTaCrO6 at its relaxed geometry.

Cell: 5.498 5.652 10.104 Å, 90.00 122.30 90.00°
Fractional positions:
Ca  0.000  0.201  0.000
Ca  0.000  0.799  0.500
La  0.447  0.294  0.490
La  0.447  0.706  0.990
Ta  0.720  0.247  0.244
Ta  0.720  0.753  0.744
Cr  0.219  0.251  0.745
Cr  0.219  0.749  0.245
O  0.054  0.037  0.297
O  0.054  0.963  0.797
O  0.387  0.457  0.196
O  0.387  0.543  0.696
O  0.446  0.030  0.678
O  0.446  0.970  0.178
O  0.618  0.293  0.026
O  0.618  0.707  0.526
O  0.834  0.203  0.467
O  0.834  0.797  0.967
O  0.992  0.471  0.813
O  0.992  0.529  0.313

## Properties
VASP energy = -8.49 eV per atom
V = 13.3 Å³ per atom
Spin magnetization = 4.00 μB per formula unit



4.
Density functional theory data (PBE+U) for crystalline CaLaCrWO6 at its relaxed geometry.

Cell: 5.555 5.765 9.604 Å, 90.00 124.84 90.00°
Fractional positions:
Ca  0.000  0.201  0.000
Ca  0.000  0.799  0.500
La  0.472  0.294  0.498
La  0.472  0.706  0.998
Cr  0.734  0.251  0.248
Cr  0.734  0.749  0.748
W  0.237  0.247  0.749
W  0.237  0.753  0.249
O  0.075  0.054  0.296
O  0.075  0.946  0.796
O  0.391  0.447  0.199
O  0.391  0.553  0.699
O  0.487  0.040  0.703
O  0.487  0.960  0.203
O  0.582  0.284  0.999
O  0.582  0.716  0.499
O  0.896  0.213  0.498
O  0.896  0.787  0.998
O  0.984  0.451  0.796
O  0.984  0.549  0.296

## Properties
VASP energy = -7.75 eV per atom
V = 12.6 Å³ per atom
Spin magnetization = 5.00 μB per formula unit